[1]
A plane-wave DFT calculation with meta-GGA SCAN was carried out for a PBEsol-optimized structure of Al2CuSb.

Lattice parameters (Å, degrees): 3.912 3.912 9.244 90.00 90.00 90.00
Space group I4/mmm (No. 139)
Asymmetric unit:
Al (0.000, 0.500, 0.250)
Cu (0.000, 0.000, 0.000)
Sb (0.000, 0.000, 0.500)

Total magnetic moment (μB/cell): 0.0
Raw formation energy (eV per atom): 0.20
Calculated total energy (eV per atom): -16.790

[2]
A plane-wave DFT calculation with meta-GGA SCAN was carried out for a PBEsol-optimized structure of Mg3Co.

Lattice parameters (Å, degrees): 3.079 3.079 7.392 90.00 90.00 90.00
Space group P4/mmm (No. 123)
Asymmetric unit:
Mg (0.000, 0.000, 0.000)
Mg (0.500, 0.500, 0.307)
Co (0.000, 0.000, 0.500)

Total magnetic moment (μB/cell): 0.0
DFT formation energy (eV/atom): 0.147
Calculated total energy (eV per atom): -7.909

[3]
A plane-wave DFT calculation with meta-GGA SCAN was carried out for a PBEsol-optimized structure of TlNi2Pt.

Lattice parameters (Å, degrees): 8.418 2.883 4.921 90.00 101.58 90.00
Space group C2/m (No. 12)
Asymmetric unit:
Tl (0.000, 0.000, 0.000)
Ni (0.247, 0.000, 0.717)
Pt (0.000, 0.500, 0.500)

Total magnetic moment (μB/cell): 2.2
DFT formation energy (eV/atom): 0.255
Calculated total energy (eV per atom): -43.470